Computed, not measured: a relaxed CaRh2Cl crystal at the PBE-GGA level of DFT.

Properties
Energy above the most stable polymorph in this dataset in kcal/mol of atoms: 4.16
Total energy in eV per atom: -4.92
Formation energy from raw total energies in eV per atom: -0.283

Cell: 3.7025 3.7019 5.8373 Å, 90.00 90.00 90.00°
Fractional positions:
Ca 0.5000 0.0000 0.5000
Rh 0.0000 0.0000 0.0000
Rh 0.5000 0.5000 0.0000
Cl 0.0000 0.5000 0.5000